A plane-wave DFT calculation with GGA-PBE was carried out for a relaxed PmNpAg2Te4 crystal.

Computed properties:
crystal system = orthorhombic
density of states at the Fermi level = 6.9 states/eV per cell
uncorrected formation energy = -0.49 eV per atom

Structure (extended XYZ):
```
8
Lattice="-3.832 3.840 4.132 3.832 -3.840 4.132 3.832 3.840 -4.132" Properties=species:S:1:pos:R:3 pbc="T T T"
Pm 0.000 0.000 0.000
Np 0.000 0.000 4.132
Ag 3.832 0.000 1.404
Ag 0.000 3.840 2.727
Te 1.871 1.920 -1.632
Te 1.961 -1.920 5.764
Te 1.961 1.920 2.500
Te 1.871 5.760 1.632
```

A plane-wave DFT calculation with GGA-PBE was carried out for a relaxed Nd6SbAs2Se3 crystal.

Computed properties:
crystal system = monoclinic
density of states at the Fermi level = 4.7 states/eV per cell
uncorrected formation energy = -1.65 eV per atom

Structure (extended XYZ):
```
12
Lattice="9.379 -2.149 0.000 9.379 2.149 0.000 -1.963 0.000 8.384" Properties=species:S:1:pos:R:3 pbc="T T T"
Nd -0.435 0.000 2.184
Nd 4.399 0.000 7.583
Nd 5.362 0.000 3.541
Nd 11.432 0.000 4.843
Nd 12.396 0.000 0.801
Nd 17.230 0.000 6.200
Sb 9.379 0.000 0.000
As 2.483 0.000 2.804
As 14.311 0.000 5.580
Se 1.451 0.000 6.983
Se 8.397 0.000 4.192
Se 15.344 0.000 1.401
```

A plane-wave DFT calculation with GGA-PBE was carried out for a relaxed Pr3Sm7Dy2 crystal.

Computed properties:
crystal system = trigonal
density of states at the Fermi level = 20.5 states/eV per cell
distance to the lowest polymorph of the same formula = 189.7 meV per atom
formation enthalpy at 0 K = 0.2748 eV/atom

Structure (extended XYZ):
```
12
Lattice="3.308 1.910 11.404 -3.308 1.910 11.404 0.000 -3.820 11.404" Properties=species:S:1:pos:R:3 pbc="T T T"
Pr 0.000 0.000 0.000
Pr 0.000 0.000 5.257
Pr 0.000 0.000 28.954
Sm -1.668 -0.963 14.267
Sm 0.000 -1.926 19.944
Sm -1.668 0.963 19.944
Sm 0.000 0.000 17.105
Sm 1.668 -0.963 14.267
Sm 0.000 1.926 14.267
Sm 1.668 0.963 19.944
Dy 0.000 0.000 11.416
Dy 0.000 0.000 22.795
```

A plane-wave DFT calculation with GGA-PBE was carried out for a relaxed As2Pb2Cl crystal.

Computed properties:
crystal system = tetragonal
density of states at the Fermi level = 4.5 states/eV per cell
distance to the lowest polymorph of the same formula = 179.6 meV per atom
uncorrected formation energy = -0.09 eV per atom

Structure (extended XYZ):
```
10
Lattice="8.639 0.000 0.000 0.000 8.639 0.000 0.000 0.000 3.734" Properties=species:S:1:pos:R:3 pbc="T T T"
As 0.874 3.446 0.000
As 3.446 7.765 0.000
As 5.193 0.874 0.000
As 7.765 5.193 0.000
Pb 1.482 5.802 1.867
Pb 2.837 1.482 1.867
Pb 5.802 7.157 1.867
Pb 7.157 2.837 1.867
Cl 0.000 0.000 0.000
Cl 4.320 4.320 0.000
```

Question: Look up the density of states at the Fermi level of the second one.
Answer: 4.7 states/eV per cell

Question: Which of these has the lowest density of states at the Fermi level?
Answer: As2Pb2Cl

Question: Look up the density of states at the Fermi level of the first one.
Answer: 6.9 states/eV per cell